1.
Compound: TlAgHBr2
Source: Alexandria via LeMat-Bulk
Functional: PBE
Structure: optimized geometry

Cell: 5.653 5.653 3.720 Å, 90.00 90.00 90.00°
Atoms (fractional coordinates):
Br 0.000 0.500 0.000
Ag 0.000 0.000 0.000
Br 0.500 0.000 0.000
Tl 0.500 0.500 0.500
H 0.000 0.000 0.500

Computed properties:
- Calculated density: 6.609 Mg/m³
- Space-group type: P4/mmm, No. 123
- Uncorrected energy: -2.6320 eV/atom
- Fermi-level density of states: 1.9 states/eV/f.u.
- Spin magnetization: 0.00 Bohr magnetons per cell

=====

2.
Compound: SiTc2C
Source: Alexandria via LeMat-Bulk
Functional: PBE
Structure: optimized geometry

Cell: 6.782 6.782 5.287 Å, 50.11 50.11 90.00°
Atoms (fractional coordinates):
Si 0.000 0.000 0.000
Tc 0.875 0.768 0.750
C 0.250 0.750 0.500
Si 0.750 0.250 0.500
Tc 0.375 0.482 0.750
C 0.500 0.500 0.000
Tc 0.232 0.625 0.250
Tc 0.518 0.125 0.250

Computed properties:
- Calculated density: 7.657 Mg/m³
- Space-group type: I-42d, No. 122
- Distance to the lowest polymorph of the same formula: 0.0000 eV/atom
- Formation energy from raw total energies: 0.800 eV/f.u.
- Uncorrected energy: -8.6448 eV/atom
- Fermi-level density of states: 1.6 states/eV/f.u.
- Spin magnetization: 0.00 Bohr magnetons per cell

=====

3.
Compound: NiMo2Se
Source: Alexandria via LeMat-Bulk
Functional: PBE
Structure: optimized geometry

Cell: 4.891 4.891 4.891 Å, 134.47 134.47 66.36°
Atoms (fractional coordinates):
Mo 0.000 0.000 0.000
Ni 0.500 0.500 0.000
Se 0.750 0.250 0.500
Mo 0.250 0.750 0.500

Computed properties:
- Calculated density: 9.329 Mg/m³
- Space-group type: I-4m2, No. 119
- Formation energy from raw total energies: 1.409 eV/f.u.
- Uncorrected energy: -7.3798 eV/atom
- Fermi-level density of states: 5.7 states/eV/f.u.
- Spin magnetization: 0.00 Bohr magnetons per cell

=====

4.
Compound: Ga2ICl
Source: Alexandria via LeMat-Bulk
Functional: PBE
Structure: optimized geometry

Cell: 7.834 15.689 4.703 Å, 90.00 89.99 104.46°
Atoms (fractional coordinates):
Cl 0.438 0.876 0.931
Ga 0.370 0.240 0.750
Ga 0.130 0.759 0.250
Ga 0.116 0.231 0.083
Cl 0.062 0.124 0.431
Ga 0.630 0.760 0.250
I 0.814 0.628 0.543
Cl 0.562 0.124 0.069
I 0.186 0.372 0.457
Ga 0.384 0.769 0.583
Ga 0.616 0.231 0.417
I 0.686 0.372 0.043
Ga 0.870 0.241 0.750
Ga 0.884 0.769 0.917
Cl 0.938 0.876 0.569
I 0.314 0.628 0.957

Computed properties:
- Calculated density: 3.582 Mg/m³
- Space-group type: Cmce, No. 64
- Distance to the lowest polymorph of the same formula: 0.0000 eV/atom
- Formation energy from raw total energies: -2.100 eV/f.u.
- Uncorrected energy: -2.8875 eV/atom
- Spin magnetization: 0.00 Bohr magnetons per cell

=====

5.
Compound: SmTm2Hg9
Source: Alexandria via LeMat-Bulk
Functional: PBE
Structure: optimized geometry

Cell: 4.507 4.507 14.443 Å, 90.00 90.00 90.00°
Atoms (fractional coordinates):
Tm 0.000 0.000 0.336
Hg 0.500 0.500 0.000
Hg 0.000 0.500 0.171
Hg 0.000 0.500 0.500
Hg 0.000 0.500 0.829
Hg 0.500 0.000 0.171
Hg 0.500 0.000 0.500
Tm 0.000 0.000 0.664
Hg 0.500 0.500 0.335
Sm 0.000 0.000 0.000
Hg 0.500 0.000 0.829
Hg 0.500 0.500 0.665

Computed properties:
- Calculated density: 12.981 Mg/m³
- Space-group type: P4/mmm, No. 123
- Uncorrected energy: -1.6645 eV/atom
- Energy of formation from the pure elements: -0.300 eV/atom
- Fermi-level density of states: 7.1 states/eV/f.u.
- Spin magnetization: 0.00 Bohr magnetons per cell

=====

6.
Compound: SrRhPb2I
Source: Alexandria via LeMat-Bulk
Functional: PBE
Structure: optimized geometry

Cell: 5.207 5.207 6.270 Å, 90.00 90.00 90.00°
Atoms (fractional coordinates):
Pb 0.000 0.500 0.000
Sr 0.000 0.000 0.500
Pb 0.500 0.000 0.000
I 0.500 0.500 0.500
Rh 0.000 0.000 0.000

Computed properties:
- Calculated density: 7.149 Mg/m³
- Space-group type: P4/mmm, No. 123
- Formation energy from raw total energies: -2.243 eV/f.u.
- Uncorrected energy: -4.0486 eV/atom
- Fermi-level density of states: 3.1 states/eV/f.u.
- Spin magnetization: 0.00 Bohr magnetons per cell